Density functional theory data (PBE with a Hubbard U) for MnHg2SbO6 after structural relaxation.

E_tot = -5.14 eV per atom

Unit cell a=5.4491 b=5.7254 c=5.7913 alpha=57.39 beta=60.83 gamma=60.41
With the nearest neighbours (Å) after each atom.
Element x y z (fractional)
O (0.6479, 0.0913, 0.8157)  1 Sb 1.99, 1 Hg 2.22
O (0.4766, 0.6623, 0.8158)  1 Mn 1.98, 1 Sb 2.05
Sb (0.3162, 0.3162, 0.0515)  6 O 1.99-2.05
O (0.5510, 0.1523, 0.3231)  1 Mn 1.98, 1 Sb 2.04
Mn (0.8162, 0.8161, 0.5515)  4 O 1.98
Hg (0.0737, 0.0680, 0.8011)  3 O 2.22-2.32
O (0.9844, 0.5410, 0.2874)  1 Sb 2.00, 1 Hg 2.22
Hg (0.5586, 0.5643, 0.3019)  3 O 2.22-2.32
O (0.1557, 0.9700, 0.2873)  1 Mn 1.98, 1 Sb 2.05
O (0.0814, 0.4800, 0.7799)  1 Mn 1.98, 1 Sb 2.04